[1]
The following is a DFT calculation (GGA-PBE) of an optimized crystal structure of TaAl3.

Mass density, g/cm³: 6.38
Magnetic moment, μB/cell: 0.00
Formation enthalpy at 0 K, eV per formula unit: -0.33
Volume, A^3/atom: 17.04

```
TaAl3
1.0
-4.1820 -0.9949 -8.0918
-2.5293 -3.4462 -8.1045
-5.1559 -3.4413 -6.7475
Al Ta
3 1
Cartesian
-8.9004 -5.9119 -17.2079 Al
-5.9336 -3.9413 -11.4719 Al
-2.9668 -1.9706 -5.7359 Al
0.0000 0.0000 0.0000 Ta
```



[2]
The following is a DFT calculation (GGA-PBE) of an optimized crystal structure of PrSn3H.

Final energy, eV per atom: -4.270
Mass density, g/cm³: 7.34
Magnetic moment, μB/cell: 0.00
Volume, A^3/atom: 22.54

```
PrSn3H
1.0
-3.9408 2.3546 1.5018
-0.8762 -3.5086 3.2017
2.6517 2.3398 3.2898
Pr H Sn
1 1 3
Cartesian
-1.0826 0.5929 3.9967 Pr
0.0000 0.0000 0.0000 H
-0.4381 -1.7543 1.6008 Sn
1.3259 1.1699 1.6449 Sn
-1.9704 1.1773 0.7509 Sn
```



[3]
The following is a DFT calculation (GGA-PBE) of an optimized crystal structure of YAlMo2.

Mass density, g/cm³: 6.59
Magnetic moment, μB/cell: 0.00
Formation enthalpy at 0 K, eV per formula unit: 0.10
Volume, A^3/atom: 19.37

```
YAlMo2
1.0
3.4813 0.0000 0.0000
0.0000 3.4835 0.0000
0.0000 0.0000 6.3900
Y Mo Al
1 2 1
Cartesian
1.7407 1.7417 1.5975 Y
0.0000 0.0000 5.9520 Mo
0.0000 0.0000 3.6330 Mo
1.7407 1.7417 4.7925 Al
```



[4]
The following is a DFT calculation (GGA-PBE) of an optimized crystal structure of TaOF3.

Final energy, eV per atom: -7.552
Mass density, g/cm³: 6.06
Magnetic moment, μB/cell: 0.00
Volume, A^3/atom: 13.92

```
TaOF3
1.0
-3.9214 -0.1312 1.1326
2.0626 4.8081 0.1041
4.2939 -2.8715 -20.4082
Ta O F
5 5 15
Cartesian
-0.2763 -0.0348 -0.7213 Ta
3.3739 -0.5947 -16.6498 Ta
2.5863 1.9646 -12.2969 Ta
-0.2840 -0.3364 -8.0660 Ta
-1.0810 2.1909 -3.7279 Ta
-0.0557 -1.6755 -14.0555 O
3.0594 0.9505 -10.8610 O
2.2521 3.4642 -6.5204 O
-0.6214 1.1499 -2.2973 O
-1.9989 -0.1280 -0.1881 O
2.4808 0.5354 -13.5395 F
1.6765 3.0315 -9.1946 F
1.8351 3.2062 -1.7199 F
2.8491 0.5275 -18.3443 F
1.4394 -0.5699 -16.2112 F
0.6402 1.9598 -11.8579 F
1.6915 -0.2101 -8.7582 F
0.8846 2.3162 -4.4286 F
3.7864 1.1310 -15.9730 F
0.9523 -1.1484 -11.6639 F
-0.6918 3.8877 -2.9978 F
0.1389 1.3618 -7.3356 F
4.6346 -1.4500 -20.0653 F
3.3015 -2.0526 -17.8272 F
-1.2050 0.7518 -4.9610 F
```



[5]
The following is a DFT calculation (GGA-PBE) of an optimized crystal structure of K5Bi2Cl12.

Final energy, eV per atom: -3.266
Mass density, g/cm³: 2.54
Magnetic moment, μB/cell: 1.16
Volume, A^3/atom: 35.80

```
K5Bi2Cl12
1.0
7.9405 0.0000 0.0000
-3.9702 8.8076 -0.0206
0.0000 -3.1188 9.7341
K Bi Cl
5 2 12
Cartesian
0.0000 3.1508 6.1680 K
0.0000 4.8505 1.6025 K
0.0000 -1.5594 4.8671 K
3.9702 0.8383 8.1110 K
3.9702 2.5380 3.5456 K
5.9429 0.0000 0.0000 Bi
1.9976 0.0000 0.0000 Bi
0.0000 -0.5330 1.8294 Cl
-1.8744 3.1149 8.9588 Cl
1.8744 3.1149 8.9588 Cl
-1.8197 4.9056 4.1997 Cl
1.8197 4.9056 4.1997 Cl
0.0000 6.2369 7.8364 Cl
3.9702 -0.5481 1.8771 Cl
5.7899 0.7832 5.5139 Cl
2.1506 0.7832 5.5139 Cl
5.8447 2.5739 0.7547 Cl
2.0958 2.5739 0.7547 Cl
3.9702 6.2218 7.8841 Cl
```



[6]
The following is a DFT calculation (GGA-PBE) of an optimized crystal structure of BaCaDy.

Relative energy among the computed polymorphs, meV per atom: 0.0
Mass density, g/cm³: 4.49
Magnetic moment, μB/cell: 0.00
Formation enthalpy at 0 K, eV per formula unit: 0.56
Volume, A^3/atom: 41.93

```
BaCaDy
1.0
3.8758 0.0000 0.0000
-1.9379 3.3566 0.0000
0.0000 0.0000 9.6684
Ca Ba Dy
1 1 1
Cartesian
0.0000 2.2377 6.2608 Ca
0.0000 0.0000 0.0932 Ba
1.9379 1.1189 3.3144 Dy
```



[7]
The following is a DFT calculation (GGA-PBE) of an optimized crystal structure of SrTmSc.

Mass density, g/cm³: 4.90
Magnetic moment, μB/cell: 0.30
Formation enthalpy at 0 K, eV per formula unit: 0.63
Volume, A^3/atom: 34.03

```
SrTmSc
1.0
3.6847 0.0000 0.0000
0.0000 3.6847 0.0000
-1.8423 -1.8423 7.5187
Sc Sr Tm
1 1 1
Cartesian
1.8423 1.8423 2.7432 Sc
0.0000 0.0000 0.0695 Sr
0.0000 0.0000 4.7060 Tm
```



[8]
The following is a DFT calculation (GGA-PBE) of an optimized crystal structure of CaAs2.

Mass density, g/cm³: 3.47
Magnetic moment, μB/cell: 5.31
Formation enthalpy at 0 K, eV per formula unit: -0.85
Volume, A^3/atom: 30.30

```
CaAs2
1.0
7.1372 0.0000 0.0000
0.0000 7.1372 0.0000
0.0000 0.0000 7.1372
As Ca
8 4
Cartesian
4.2340 4.2340 2.9032 As
2.9032 2.9032 4.2340 As
0.6654 6.4718 4.2340 As
6.4718 0.6654 2.9032 As
2.9032 0.6654 0.6654 As
4.2340 6.4718 6.4718 As
6.4718 2.9032 6.4718 As
0.6654 4.2340 0.6654 As
0.0000 0.0000 0.0000 Ca
3.5686 3.5686 0.0000 Ca
3.5686 0.0000 3.5686 Ca
0.0000 3.5686 3.5686 Ca
```



[9]
The following is a DFT calculation (GGA-PBE) of an optimized crystal structure of KTe2O6.

Relative energy among the computed polymorphs, meV per atom: 0.0
Mass density, g/cm³: 4.49
Magnetic moment, μB/cell: 0.00
Volume, A^3/atom: 16.02

```
KTe2O6
1.0
6.4222 0.0000 3.7079
2.1407 6.0549 3.7079
0.0000 0.0000 7.4158
K Te O
2 4 12
Cartesian
4.2815 3.0275 7.4158 K
6.4222 4.5412 11.1236 K
1.0704 0.7569 1.8539 Te
2.1407 3.7843 3.7079 Te
1.0704 0.7569 5.5618 Te
4.2815 0.7569 3.7079 Te
1.6771 1.1859 7.4158 O
6.8858 4.8690 7.4157 O
2.9793 4.8690 5.1603 O
2.9793 4.8690 9.6712 O
3.8179 2.6996 3.7079 O
2.9793 0.3278 2.2554 O
5.5837 1.1859 9.6712 O
0.4636 0.3278 3.7079 O
2.9793 0.3278 5.1603 O
1.3022 2.6996 5.1603 O
5.5837 1.1859 5.1603 O
1.3022 2.6996 2.2554 O
```



[10]
The following is a DFT calculation (GGA-PBE) of an optimized crystal structure of CsCo3Cl12.

Final energy, eV per atom: -3.410
Mass density, g/cm³: 1.71
Magnetic moment, μB/cell: 28.00
Volume, A^3/atom: 44.53

```
CsCo3Cl12
1.0
10.6515 0.0000 5.1435
4.0839 9.8375 5.1435
0.0005 0.0003 13.5997
Cs Co Cl
2 6 24
Cartesian
1.0635 0.7100 11.3982 Cs
8.4310 5.6286 9.7419 Cs
8.9594 3.3038 5.4169 Co
4.0998 4.4262 10.2317 Co
9.7705 2.0894 12.2167 Co
7.4566 9.3448 6.6387 Co
13.0273 7.0080 8.5754 Co
8.2060 8.2227 13.4385 Co
2.1039 1.2342 14.9350 Cl
4.0144 2.8443 11.6927 Cl
10.5038 0.0954 12.0589 Cl
10.7496 4.0478 18.0853 Cl
5.3153 3.7868 8.5773 Cl
9.2075 9.8024 7.7626 Cl
9.3643 2.9026 7.4952 Cl
2.1307 4.8838 9.5593 Cl
7.8603 2.2720 11.2496 Cl
9.5552 2.6171 14.2951 Cl
11.1436 3.4572 11.2855 Cl
5.0142 6.1528 11.1264 Cl
12.6949 5.0140 7.9030 Cl
8.3961 1.4699 18.0495 Cl
7.9968 8.7057 18.2577 Cl
6.3654 7.7629 7.6139 Cl
11.5335 7.5357 10.0363 Cl
7.3989 4.7456 5.2590 Cl
9.3140 6.3885 13.2787 Cl
12.9033 8.3761 20.5207 Cl
7.8225 8.9664 11.4578 Cl
4.3215 7.1909 17.9262 Cl
6.3266 7.8215 14.4138 Cl
9.2999 9.6645 14.5625 Cl
```



[11]
The following is a DFT calculation (GGA-PBE) of an optimized crystal structure of PmYTlRu.

Mass density, g/cm³: 9.24
Magnetic moment, μB/cell: 0.00
Formation enthalpy at 0 K, eV per formula unit: -0.85
Volume, A^3/atom: 24.22

```
PmYTlRu
1.0
-0.0881 -5.0109 -1.2082
4.4181 -2.6085 -0.5019
1.3268 -3.5242 3.5208
Y Ru Tl Pm
1 1 1 1
Cartesian
2.8284 -5.5718 0.9053 Y
4.2427 -8.3577 1.3580 Ru
1.4142 -2.7859 0.4527 Tl
0.0000 0.0000 0.0000 Pm
```



[12]
The following is a DFT calculation (GGA-PBE) of an optimized crystal structure of EuZnCdPd.

Mass density, g/cm³: 8.46
Magnetic moment, μB/cell: 7.10
Formation enthalpy at 0 K, eV per formula unit: -1.43
Volume, A^3/atom: 21.41

```
EuZnCdPd
1.0
4.9474 0.0000 0.0000
2.4737 4.2846 0.0000
2.4737 1.4282 4.0395
Eu Zn Pd Cd
1 1 1 1
Cartesian
4.9474 2.8564 2.0198 Eu
7.4211 4.2846 3.0296 Zn
2.4737 1.4282 1.0099 Pd
0.0000 0.0000 0.0000 Cd
```